Record 1
ErAgSnTe3 | PBE | relaxed

## Properties
ΔE to the lowest computed polymorph   32 kJ/mol of formula units
Total DFT energy (no corrections)   -0.1492 Ha/atom

Cell lengths 12.519, 4.465, 12.589 Å; angles 90.00, 90.00, 90.00 degrees
Fractional coordinates of all 24 atoms:
Te  0.590  0.000  0.064
Te  0.975  0.000  0.134
Sn  0.313  0.500  0.484
Sn  0.187  0.000  0.984
Er  0.973  0.500  0.312
Sn  0.687  0.000  0.516
Te  0.410  0.500  0.936
Sn  0.813  0.500  0.016
Te  0.090  0.000  0.436
Ag  0.763  0.000  0.201
Te  0.224  0.500  0.168
Te  0.910  0.500  0.564
Er  0.527  0.000  0.812
Er  0.027  0.000  0.688
Te  0.025  0.500  0.866
Er  0.473  0.500  0.188
Te  0.776  0.000  0.832
Ag  0.263  0.000  0.299
Ag  0.737  0.500  0.701
Te  0.475  0.000  0.366
Te  0.724  0.500  0.332
Te  0.525  0.500  0.634
Te  0.276  0.000  0.668
Ag  0.237  0.500  0.799

=====

Record 2
YErAg2Sn2 | PBE | relaxed

## Properties
Total DFT energy (no corrections)   -0.1730 Ha/atom

Cell lengths 4.726, 4.726, 7.307 Å; angles 90.00, 90.00, 120.00 degrees
Fractional coordinates of all 6 atoms:
Er  0.000  0.000  0.260
Sn  0.333  0.667  0.539
Ag  0.667  0.333  0.449
Sn  0.667  0.333  0.041
Y  0.000  0.000  0.760
Ag  0.333  0.667  0.951

=====

Record 3
SrErAg | PBE | relaxed

## Properties
ΔE to the lowest computed polymorph   0 kJ/mol of formula units
Total DFT energy (no corrections)   -0.1075 Ha/atom

Cell lengths 5.213, 5.213, 5.213 Å; angles 60.00, 60.00, 60.00 degrees
Fractional coordinates of all 3 atoms:
Sr  0.750  0.750  0.750
Er  0.250  0.250  0.250
Ag  0.000  0.000  0.000

=====

Record 4
Tb4ErAg5 | PBE | relaxed

## Properties
Formation energy   -331 meV per atom
Total DFT energy (no corrections)   -0.1489 Ha/atom

Cell lengths 3.624, 3.624, 18.201 Å; angles 90.00, 90.00, 90.00 degrees
Fractional coordinates of all 10 atoms:
Ag  0.500  0.500  0.097
Tb  0.000  0.000  0.802
Tb  0.000  0.000  0.399
Ag  0.500  0.500  0.299
Ag  0.500  0.500  0.500
Ag  0.500  0.500  0.903
Ag  0.500  0.500  0.701
Er  0.000  0.000  0.000
Tb  0.000  0.000  0.601
Tb  0.000  0.000  0.198

=====

Record 5
TbErAg4 | PBE | relaxed

## Properties
Formation energy   -332 meV per atom
Total DFT energy (no corrections)   -0.1377 Ha/atom

Cell lengths 3.713, 3.713, 9.231 Å; angles 90.00, 90.00, 90.00 degrees
Fractional coordinates of all 6 atoms:
Er  0.000  0.000  0.000
Ag  0.000  0.000  0.328
Tb  0.500  0.500  0.500
Ag  0.500  0.500  0.833
Ag  0.500  0.500  0.167
Ag  0.000  0.000  0.672

=====

Record 6
TbErAg6 | PBE | relaxed

## Properties
Formation energy   -268 meV per atom
Total DFT energy (no corrections)   -0.1299 Ha/atom

Cell lengths 5.024, 6.124, 5.213 Å; angles 90.00, 90.00, 90.00 degrees
Fractional coordinates of all 8 atoms:
Ag  0.500  0.000  0.177
Ag  0.000  0.251  0.341
Er  0.000  0.000  0.847
Ag  0.000  0.500  0.819
Ag  0.500  0.758  0.661
Ag  0.000  0.749  0.341
Ag  0.500  0.242  0.661
Tb  0.500  0.500  0.155

=====

Record 7
TbEr4Ag5 | PBE | relaxed

## Properties
Formation energy   -342 meV per atom
Total DFT energy (no corrections)   -0.1486 Ha/atom

Cell lengths 3.596, 3.596, 18.050 Å; angles 90.00, 90.00, 90.00 degrees
Fractional coordinates of all 10 atoms:
Er  0.000  0.000  0.401
Ag  0.500  0.500  0.301
Er  0.000  0.000  0.798
Tb  0.000  0.000  0.000
Ag  0.500  0.500  0.699
Er  0.000  0.000  0.202
Ag  0.500  0.500  0.103
Er  0.000  0.000  0.599
Ag  0.500  0.500  0.897
Ag  0.500  0.500  0.500

=====

Record 8
ErTlAgTe3 | PBE | relaxed

## Properties
Total DFT energy (no corrections)   -0.1420 Ha/atom

Cell lengths 8.053, 8.053, 11.335 Å; angles 90.00, 90.00, 149.75 degrees
Fractional coordinates of all 12 atoms:
Te  0.139  0.861  0.954
Er  0.500  0.500  0.000
Er  0.500  0.500  0.500
Te  0.583  0.417  0.250
Te  0.139  0.861  0.546
Te  0.861  0.139  0.046
Te  0.417  0.583  0.750
Ag  0.037  0.963  0.750
Tl  0.263  0.737  0.250
Ag  0.963  0.037  0.250
Tl  0.737  0.263  0.750
Te  0.861  0.139  0.454

=====

Record 9
ErThAg | PBE | relaxed

## Properties
Formation energy   226 meV per atom
ΔE to the lowest computed polymorph   0 kJ/mol of formula units
Total DFT energy (no corrections)   -0.1730 Ha/atom

Cell lengths 5.039, 5.039, 5.039 Å; angles 60.00, 60.00, 60.00 degrees
Last column: magnetic moment on the atom in μB.
Fractional coordinates of all 3 atoms:
Th  0.750  0.750  0.750  0.12
Ag  0.000  0.000  0.000  0.01
Er  0.250  0.250  0.250  0.14

=====

Record 10
Er5Tl4Ag | PBE | relaxed

## Properties
Total DFT energy (no corrections)   -0.1406 Ha/atom

Cell lengths 3.595, 3.595, 20.123 Å; angles 90.00, 90.00, 90.00 degrees
Fractional coordinates of all 10 atoms:
Tl  0.000  0.000  0.809
Tl  0.000  0.000  0.603
Ag  0.000  0.000  0.000
Er  0.500  0.500  0.706
Tl  0.000  0.000  0.191
Er  0.500  0.500  0.294
Er  0.500  0.500  0.911
Tl  0.000  0.000  0.397
Er  0.500  0.500  0.089
Er  0.500  0.500  0.500

=====

Record 11
ErTm2Ag3 | PBE | relaxed

## Properties
Formation energy   -348 meV per atom
Total DFT energy (no corrections)   -0.1475 Ha/atom

Cell lengths 3.564, 3.564, 10.824 Å; angles 90.00, 90.00, 90.00 degrees
Fractional coordinates of all 6 atoms:
Tm  0.000  0.000  0.166
Er  0.000  0.000  0.500
Ag  0.500  0.500  0.000
Ag  0.500  0.500  0.332
Tm  0.000  0.000  0.834
Ag  0.500  0.500  0.668

=====

Record 12
Er4TmAg5 | PBE | relaxed

## Properties
Formation energy   -347 meV per atom
Total DFT energy (no corrections)   -0.1482 Ha/atom

Cell lengths 3.586, 3.586, 17.948 Å; angles 90.00, 90.00, 90.00 degrees
Fractional coordinates of all 10 atoms:
Er  0.000  0.000  0.400
Ag  0.500  0.500  0.901
Er  0.000  0.000  0.801
Ag  0.500  0.500  0.500
Ag  0.500  0.500  0.700
Ag  0.500  0.500  0.300
Ag  0.500  0.500  0.099
Er  0.000  0.000  0.600
Tm  0.000  0.000  0.000
Er  0.000  0.000  0.199

=====

Record 13
ErTmAg6 | PBE | relaxed

## Properties
Formation energy   -272 meV per atom
Total DFT energy (no corrections)   -0.1294 Ha/atom

Cell lengths 4.998, 6.078, 5.196 Å; angles 90.00, 90.00, 90.00 degrees
Fractional coordinates of all 8 atoms:
Ag  0.500  0.754  0.659
Er  0.000  0.000  0.847
Ag  0.500  0.000  0.175
Ag  0.000  0.500  0.826
Ag  0.000  0.746  0.341
Ag  0.000  0.254  0.341
Tm  0.500  0.500  0.153
Ag  0.500  0.246  0.659

=====

Record 14
ErUAg | PBE | relaxed

## Properties
Formation energy   726 meV per atom
ΔE to the lowest computed polymorph   0 kJ/mol of formula units
Total DFT energy (no corrections)   -0.2022 Ha/atom

Cell lengths 4.937, 4.937, 4.937 Å; angles 60.00, 60.00, 60.00 degrees
Last column: magnetic moment on the atom in μB.
Fractional coordinates of all 3 atoms:
Ag  0.000  0.000  0.000  0.03
U  0.750  0.750  0.750  2.78
Er  0.250  0.250  0.250  0.44

=====

Record 15
Y4ErAg5 | PBE | relaxed

## Properties
Formation energy   -342 meV per atom
Total DFT energy (no corrections)   -0.1763 Ha/atom

Cell lengths 3.616, 3.616, 18.183 Å; angles 90.00, 90.00, 90.00 degrees
Fractional coordinates of all 10 atoms:
Ag  0.500  0.500  0.701
Ag  0.500  0.500  0.097
Y  0.000  0.000  0.802
Y  0.000  0.000  0.601
Ag  0.500  0.500  0.299
Y  0.000  0.000  0.198
Er  0.000  0.000  0.000
Ag  0.500  0.500  0.903
Y  0.000  0.000  0.399
Ag  0.500  0.500  0.500

=====

Record 16
YErAg2 | PBE | relaxed

## Properties
Formation energy   -305 meV per atom
Total DFT energy (no corrections)   -0.1644 Ha/atom

Cell lengths 4.748, 5.796, 5.796 Å; angles 37.01, 90.00, 90.00 degrees
Fractional coordinates of all 4 atoms:
Ag  0.500  0.081  0.081
Er  0.000  0.642  0.642
Ag  0.000  0.921  0.921
Y  0.500  0.357  0.357

=====

Record 17
YErAg4 | PBE | relaxed

## Properties
Formation energy   -338 meV per atom
Total DFT energy (no corrections)   -0.1491 Ha/atom

Cell lengths 3.707, 3.707, 9.220 Å; angles 90.00, 90.00, 90.00 degrees
Fractional coordinates of all 6 atoms:
Ag  0.000  0.000  0.333
Y  0.000  0.000  0.000
Ag  0.500  0.500  0.172
Ag  0.500  0.500  0.828
Ag  0.000  0.000  0.667
Er  0.500  0.500  0.500

=====

Record 18
YEr2Ag3 | PBE | relaxed

## Properties
Formation energy   -344 meV per atom
Total DFT energy (no corrections)   -0.1601 Ha/atom

Cell lengths 3.590, 3.590, 10.887 Å; angles 90.00, 90.00, 90.00 degrees
Fractional coordinates of all 6 atoms:
Ag  0.500  0.500  0.000
Er  0.000  0.000  0.835
Ag  0.500  0.500  0.329
Er  0.000  0.000  0.165
Y  0.000  0.000  0.500
Ag  0.500  0.500  0.671

=====

Record 19
YErAg3 | PBE | relaxed

## Properties
Formation energy   63 meV per atom
Total DFT energy (no corrections)   -0.1410 Ha/atom

Cell lengths 3.842, 13.967, 13.967 Å; angles 18.74, 90.00, 90.00 degrees
Fractional coordinates of all 10 atoms:
Ag  0.000  0.053  0.053
Y  0.500  0.190  0.190
Er  0.000  0.623  0.623
Ag  0.500  0.549  0.549
Ag  0.000  0.725  0.725
Ag  0.500  0.454  0.454
Y  0.500  0.814  0.814
Ag  0.000  0.950  0.950
Er  0.000  0.380  0.380
Ag  0.000  0.279  0.279

=====

Record 20
Er5ZnAg4 | PBE | relaxed

## Properties
Formation energy   -352 meV per atom
Total DFT energy (no corrections)   -0.1429 Ha/atom

Cell lengths 3.592, 3.592, 17.937 Å; angles 90.00, 90.00, 90.00 degrees
Fractional coordinates of all 10 atoms:
Er  0.500  0.500  0.702
Er  0.500  0.500  0.500
Ag  0.000  0.000  0.196
Ag  0.000  0.000  0.804
Er  0.500  0.500  0.298
Er  0.500  0.500  0.096
Er  0.500  0.500  0.904
Zn  0.000  0.000  0.000
Ag  0.000  0.000  0.601
Ag  0.000  0.000  0.399

=====

| no. | magnetization (μB/cell) |
| --- | --- |
| 1 | 0.0 |
| 2 | 0.0 |
| 3 | 0.0 |
| 4 | 0.0 |
| 5 | 0.0 |
| 6 | 0.0 |
| 7 | 0.0 |
| 8 | 0.0 |
| 9 | 0.4 |
| 10 | 0.1 |
| 11 | 0.0 |
| 12 | 0.0 |
| 13 | 0.0 |
| 14 | 3.8 |
| 15 | 0.0 |
| 16 | 0.0 |
| 17 | 0.0 |
| 18 | 0.0 |
| 19 | 0.0 |
| 20 | 0.0 |